AlCrReO6 (PBE with a Hubbard U, relaxed); electronic total energy = -142.0 eV per cell; density of states at the Fermi level = 0.26 states/eV/atom; SG = No. 163
1.0
4.943 0.000 0.000
-2.471 4.281 0.000
0.000 0.000 8.826
Al Cr Re O
2 2 2 12
Direct
0.333 0.667 0.250
0.667 0.333 0.750
0.000 0.000 0.000
0.000 0.000 0.500
0.333 0.667 0.750
0.667 0.333 0.250
0.003 0.349 0.132
0.003 0.654 0.368
0.346 0.349 0.368
0.346 0.997 0.132
0.349 0.003 0.632
0.349 0.346 0.868
0.651 0.654 0.132
0.651 0.997 0.368
0.654 0.003 0.868
0.654 0.651 0.632
0.997 0.346 0.632
0.997 0.651 0.868